1.
Here is a geometry-optimized NpCoNiPt structure from Alexandria via LeMat-Bulk. Energies are from PBE-GGA.

Cell: 6.249 6.249 6.249 Å, 90.00 90.00 90.00°
Space group F-43m (No. 216)
Unique sites:
Np 0.000 0.000 0.000 x4
Co 0.250 0.250 0.750 x4
Ni 0.250 0.250 0.250 x4
Pt 0.000 0.000 0.500 x4

formation enthalpy at 0 K	-0.164	eV/atom
size of the total moment	9.25	μB/cell
crystal system	cubic
DOS(E_F)	29.6	states/eV/cell


2.
Here is a geometry-optimized VTeAsI2 structure from Alexandria via LeMat-Bulk. Energies are from PBE-GGA.

Cell: 5.455 5.455 5.295 Å, 90.00 90.00 90.00°
Space group P4/mmm (No. 123)
Unique sites:
V 0.000 0.000 0.000 x1
Te 0.000 0.000 0.500 x1
As 0.500 0.500 0.500 x1
I 0.000 0.500 0.000 x2

size of the total moment	2.12	μB/cell
relative energy among the computed polymorphs	0.0	meV/atom
formation energy without anion corrections	538	meV/atom
crystal system	tetragonal
DOS(E_F)	4.9	states/eV/cell